(1)
NaIF5 (PBE, relaxed); uncorrected formation energy = -171.2 kJ/mol of atoms; V = 505.6 Å³/cell
1.0
5.902 0.000 0.000
0.000 11.213 0.000
-3.260 0.000 7.639
Na I F
4 4 20
Direct
0.098 0.249 0.386
0.098 0.251 0.886
0.902 0.749 0.114
0.902 0.751 0.614
0.462 0.016 0.240
0.462 0.484 0.740
0.538 0.516 0.260
0.538 0.984 0.760
0.198 0.603 0.715
0.198 0.897 0.215
0.205 0.158 0.166
0.205 0.342 0.666
0.250 0.623 0.219
0.250 0.877 0.719
0.316 0.088 0.554
0.316 0.412 0.054
0.374 0.106 0.871
0.374 0.394 0.371
0.626 0.606 0.629
0.626 0.894 0.129
0.684 0.588 0.946
0.684 0.912 0.446
0.750 0.123 0.281
0.750 0.377 0.781
0.795 0.658 0.334
0.795 0.842 0.834
0.802 0.103 0.785
0.802 0.397 0.285

=====

(2)
NaI2F8 (PBE, relaxed); uncorrected formation energy = -133.6 kJ/mol of atoms; density of states at the Fermi level = 0.236 states/eV/atom; V = 178.9 Å³/cell
1.0
5.730 0.000 0.000
-2.865 4.962 0.000
0.000 0.000 6.294
Na I F
1 2 8
Direct
0.000 0.000 0.000
0.333 0.667 0.456
0.667 0.333 0.544
0.177 0.355 0.247
0.177 0.823 0.247
0.333 0.667 0.774
0.355 0.177 0.753
0.645 0.823 0.247
0.667 0.333 0.226
0.823 0.177 0.753
0.823 0.645 0.753

=====

(3)
NaIF6 (PBE, relaxed); uncorrected formation energy = -185.8 kJ/mol of atoms; density of states at the Fermi level = 0.000 states/eV/atom; excess energy over the best structure of this formula in the dataset = 0 meV per atom; V = 275.1 Å³/cell
1.0
5.511 0.000 0.000
-2.755 4.772 0.000
0.000 0.000 10.459
Na I F
2 2 12
Direct
0.333 0.667 0.250
0.667 0.333 0.750
0.000 0.000 0.000
0.000 0.000 0.500
0.027 0.309 0.112
0.027 0.718 0.388
0.282 0.309 0.388
0.282 0.973 0.112
0.309 0.027 0.612
0.309 0.282 0.888
0.691 0.718 0.112
0.691 0.973 0.388
0.718 0.027 0.888
0.718 0.691 0.612
0.973 0.282 0.612
0.973 0.691 0.888

=====

(4)
NaI3F (PBE, relaxed); uncorrected formation energy = -3.9 kJ/mol of atoms; density of states at the Fermi level = 3.931 states/eV/atom; excess energy over the best structure of this formula in the dataset = 322 meV per atom; V = 208.9 Å³/cell
1.0
5.933 0.000 0.000
0.000 5.933 0.000
0.000 0.000 5.933
Na I F
1 3 1
Direct
0.000 0.000 0.000
0.000 0.000 0.500
0.000 0.500 0.000
0.500 0.000 0.000
0.500 0.500 0.500

=====

Calculated total energy, respectively: -3.52, -3.15, -3.69, -1.61 eV per atom.